SmTm4Hg5 | PBE | relaxed

The structure in extended XYZ format:
```
10
Lattice="-3.374 -0.580 -1.366 -0.083 -3.314 1.612 -7.482 7.606 15.250" Properties=species:S:1:pos:R:3 pbc="T T T"
Hg -6.943 3.354 10.751
Hg -2.543 -1.119 1.783
Hg -5.469 1.856 7.748
Hg -8.396 4.831 13.713
Hg -3.996 0.358 4.744
Sm 0.000 0.000 0.000
Tm -3.006 3.056 6.127
Tm -4.476 4.550 9.123
Tm -1.532 1.557 3.122
Tm -5.951 6.049 12.128
```

Calculated values
* total moment: 0.0397 μB/atom
* formation enthalpy at 0 K: -0.478 eV/atom

***

Tl2VSbN | PBE | relaxed

The structure in extended XYZ format:
```
5
Lattice="5.952 0.000 0.000 0.000 3.953 0.000 0.000 0.000 5.952" Properties=species:S:1:pos:R:3 pbc="T T T"
Tl 0.000 0.000 2.976
Tl 2.976 0.000 0.000
N 0.000 1.976 0.000
V 2.976 1.976 2.976
Sb 0.000 0.000 0.000
```

Calculated values
* raw formation energy: 724 kJ/mol of formula units
* total moment: 0.0460 μB/atom

***

CaMg | PBE | relaxed

The structure in extended XYZ format:
```
8
Lattice="6.336 0.000 0.000 0.000 5.686 0.000 0.000 0.000 6.975" Properties=species:S:1:pos:R:3 pbc="T T T"
Mg 0.470 1.421 4.356
Mg 5.865 4.264 2.619
Mg 2.698 4.264 0.869
Mg 3.638 1.421 6.106
Ca 3.919 1.421 2.621
Ca 5.584 4.264 6.109
Ca 2.417 4.264 4.354
Ca 0.751 1.421 0.866
```

Calculated values
* total moment: 0.0000 μB/atom
* formation enthalpy at 0 K: -0.038 eV/atom

***

Ac5BTe4 | PBE | relaxed

The structure in extended XYZ format:
```
10
Lattice="-3.050 -1.471 5.711 4.161 -5.022 4.789 1.733 5.044 6.084" Properties=species:S:1:pos:R:3 pbc="T T T"
Ac 0.145 1.059 11.938
Ac -1.434 -0.691 2.685
Ac 2.691 -2.511 4.660
Ac 3.759 -1.303 9.401
Ac -0.923 -0.149 7.197
Te 1.834 -2.061 12.027
Te 1.744 1.346 8.997
Te 1.010 0.612 4.557
Te 1.099 -2.795 7.587
B -0.107 -0.052 0.201
```

Calculated values
* raw formation energy: -1121 kJ/mol of formula units
* total moment: 0.0000 μB/atom

***

Question: Which formula does entry 1 have?
Answer: SmTm4Hg5